# 1
A relaxed structure of CeHo3N4. Source: Alexandria via LeMat-Bulk, functional PBE-GGA.

Cell lengths 6.0157, 6.0157, 3.4817 Å; angles 90.00, 90.00, 109.31 degrees
With the nearest neighbours (Å) after each atom.
Positions (direct):
1 Ce 0.0000 0.0000 0.0000  6 N 2.44-2.47
2 Ho 0.0000 0.5000 0.5000  6 N 2.45-2.46
3 Ho 0.5000 0.0000 0.5000  6 N 2.45-2.46
4 Ho 0.5000 0.5000 0.0000  6 N 2.45-2.46
5 N 0.2490 0.7510 0.0000  1 Ce 2.44, 5 Ho 2.46
6 N 0.2514 0.2514 0.5000  4 Ho 2.45, 2 Ce 2.47
7 N 0.7486 0.7486 0.5000  4 Ho 2.45, 2 Ce 2.47
8 N 0.7510 0.2490 0.0000  1 Ce 2.44, 5 Ho 2.46

Results
The calculation puts the raw formation energy at -1676 meV/atom. For the density of states at the Fermi level, the calculation gives 3.262 states/eV/f.u. The calculation puts the total energy at -8.297 eV/atom.



# 2
A relaxed structure of Ce2HoN. Source: Alexandria via LeMat-Bulk, functional PBE-GGA.

Cell lengths 9.4842, 9.4842, 9.4842 Å; angles 21.23, 21.23, 21.23 degrees
With the nearest neighbours (Å) after each atom.
Positions (direct):
1 Ce 0.2176 0.2176 0.2176  3 N 2.47
2 Ce 0.7824 0.7824 0.7824  3 N 2.47
3 Ho 0.0000 0.0000 0.0000  6 Ho 3.49, 6 Ce 3.80
4 N 0.5000 0.5000 0.5000  6 Ce 2.47

Results
The calculation puts the raw formation energy at -610 meV/atom. For the density of states at the Fermi level, the calculation gives 9.084 states/eV/f.u. The calculation puts the total energy at -6.802 eV/atom.